# BaPaSO2

An optimized crystal structure of BaPaSO2 (PBE, Alexandria via LeMat-Bulk).

- Volume: 22.60 Å³ per atom
- Symmetry: P4mm

Cell: 4.390 4.390 5.863 Å, 90.00 90.00 90.00°
Fractional positions:
1 Ba 0.000 0.000 0.000
2 Pa 0.500 0.500 0.385
3 S 0.500 0.500 0.860
4 O 0.000 0.500 0.310
5 O 0.500 0.000 0.310

=====

# Ba2PaS2O2

An optimized crystal structure of Ba2PaS2O2 (PBE, Alexandria via LeMat-Bulk).

- Volume: 24.27 Å³ per atom
- Symmetry: I4/mmm

Cell: 8.966 8.966 8.966 Å, 150.92 150.92 41.59°
Fractional positions:
1 Ba 0.143 0.143 0.000
2 Ba 0.857 0.857 0.000
3 Pa 0.500 0.500 0.000
4 S 0.333 0.333 0.000
5 S 0.667 0.667 0.000
6 O 0.000 0.500 0.500
7 O 0.500 0.000 0.500

=====

Which DOS at the Fermi energy belongs to each record? In order, 0.604 0.646 states/eV per atom.
Which formation energy from raw total energies belongs to each record? In order, -2.80 -2.60 eV/atom.
Which total magnetization belongs to each record? In order, 1.0 0.9 μB/f.u..